The following is a PBE calculation of a relaxed Y4MgCu2 crystal, from the Alexandria database.

Lattice parameters (Å, degrees): 8.5325 8.5325 8.5325 125.96 125.96 79.95
Atoms (fractional coordinates):
1 Y 0.0229 0.5229 0.8230
2 Y 0.2000 0.0229 0.5000
3 Y 0.3000 0.8000 0.8230
4 Y 0.4771 0.3000 0.5000
5 Y 0.5229 0.7000 0.5000
6 Y 0.7000 0.2000 0.1770
7 Y 0.8000 0.9771 0.5000
8 Y 0.9771 0.4771 0.1770
9 Mg 0.2500 0.2500 0.0000
10 Mg 0.7500 0.7500 0.0000
11 Cu 0.1227 0.3773 0.5000
12 Cu 0.3773 0.8773 0.2547
13 Cu 0.6227 0.1227 0.7453
14 Cu 0.8773 0.6227 0.5000

Properties
Energy of formation from the pure elements in meV per atom: 83
Mass density in g cm⁻³: 4.28
Energy above the most stable polymorph in this dataset in meV per atom: 133
DOS at the Fermi energy in states/eV/atom: 1.09